(1)
7
Lattice="2.443 -4.882 0.000 2.443 4.882 0.000 0.000 0.000 4.588" Properties=species:S:1:pos:R:3 comment="Pu2UC4, relaxed, DFT PBE-GGA" total_energy_ev_per_atom=-10.763 e_form_mev_per_atom=215 mass_density_g_cm3=11.7 total_magnetization_mub_per_atom=1.78 pbc="T T T"
Pu 2.443 3.192 0.000
Pu 2.443 -3.192 0.000
U 2.443 0.000 2.294
C 2.443 4.190 2.294
C 2.443 0.731 0.000
C 2.443 -0.731 0.000
C 2.443 -4.190 2.294

***

(2)
7
Lattice="5.783 -1.833 0.000 5.783 1.833 0.000 -2.772 0.000 5.658" Properties=species:S:1:pos:R:3 comment="Pu2U2C3, relaxed, DFT PBE-GGA" total_energy_ev_per_atom=-11.237 e_form_mev_per_atom=36 mass_density_g_cm3=13.8 total_magnetization_mub_per_atom=1.67 pbc="T T T"
Pu 0.216 0.000 1.841
Pu 8.577 0.000 3.816
U 3.312 0.000 0.846
U 5.481 0.000 4.812
C 1.058 0.000 4.081
C 4.397 0.000 2.829
C 7.736 0.000 1.577

***

(3)
3
Lattice="3.431 0.000 0.000 -1.716 2.971 0.000 0.000 0.000 4.442" Properties=species:S:1:pos:R:3 comment="PuUC, relaxed, DFT PBE-GGA" total_energy_ev_per_atom=-11.776 relative_energy_ev_per_fu=0.00 e_form_mev_per_atom=-162 mass_density_g_cm3=18.1 total_magnetization_mub_per_atom=0.00 pbc="T T T"
Pu 0.000 0.000 0.000
U 0.000 1.981 1.515
C 1.716 0.990 3.036

***

(4)
12
Lattice="6.126 0.000 0.000 0.000 3.236 0.000 0.000 0.000 8.894" Properties=species:S:1:pos:R:3 comment="PuU2C3, relaxed, DFT PBE-GGA" total_energy_ev_per_atom=-10.750 relative_energy_ev_per_fu=0.50 e_form_mev_per_atom=14 mass_density_g_cm3=14.2 total_magnetization_mub_per_atom=0.75 pbc="T T T"
Pu 1.531 0.000 0.472
Pu 4.594 0.000 8.422
U 1.531 0.000 6.383
U 1.531 1.618 3.452
U 4.594 0.000 2.512
U 4.594 1.618 5.443
C 0.000 0.000 4.447
C 0.019 1.618 7.290
C 3.044 1.618 7.290
C 3.063 0.000 4.447
C 3.081 1.618 1.604
C 6.107 1.618 1.604

***

(5)
5
Lattice="-1.724 2.427 4.526 1.724 -2.427 4.526 1.724 2.427 -4.526" Properties=species:S:1:pos:R:3 comment="Pu2UC2, relaxed, DFT PBE-GGA" total_energy_ev_per_atom=-11.449 e_form_mev_per_atom=231 mass_density_g_cm3=16.4 total_magnetization_mub_per_atom=0.76 pbc="T T T"
Pu 0.000 0.000 1.178
Pu 0.000 0.000 7.874
U 0.000 0.000 4.526
C 1.724 0.000 2.845
C 0.000 2.427 1.681

***

(6)
3
Lattice="-1.514 1.514 5.616 1.514 -1.514 5.616 1.514 1.514 -5.616" Properties=species:S:1:pos:R:3 comment="PuUC, relaxed, DFT PBE-GGA" total_energy_ev_per_atom=-11.319 relative_energy_ev_per_fu=1.37 e_form_mev_per_atom=296 mass_density_g_cm3=15.9 total_magnetization_mub_per_atom=1.30 pbc="T T T"
Pu 0.000 0.000 0.000
U 0.000 0.000 2.726
C 0.000 0.000 7.060

***

(7)
20
Lattice="7.887 0.000 0.000 0.000 8.068 0.000 0.000 0.000 5.556" Properties=species:S:1:pos:R:3 comment="PuU5C4, relaxed, DFT PBE-GGA" total_energy_ev_per_atom=-10.540 e_form_mev_per_atom=227 mass_density_g_cm3=13.9 total_magnetization_mub_per_atom=0.75 pbc="T T T"
Pu 1.972 2.017 1.339
Pu 5.916 6.051 4.217
U 0.567 0.008 3.927
U 0.567 4.026 3.927
U 1.972 6.051 1.481
U 3.377 0.008 3.927
U 3.377 4.026 3.927
U 4.511 4.043 1.628
U 4.511 8.060 1.628
U 5.916 2.017 4.075
U 7.320 4.043 1.628
U 7.320 8.060 1.628
C 0.009 6.051 2.832
C 1.972 4.129 0.207
C 1.972 7.974 0.207
C 3.935 6.051 2.832
C 3.952 2.017 2.724
C 5.916 0.095 5.349
C 5.916 3.939 5.349
C 7.879 2.017 2.724

***

(8)
12
Lattice="3.037 -5.302 0.000 3.037 5.302 0.000 -1.987 0.000 5.825" Properties=species:S:1:pos:R:3 comment="Pu2UC3, relaxed, DFT PBE-GGA" total_energy_ev_per_atom=-11.267 e_form_mev_per_atom=3 mass_density_g_cm3=13.5 total_magnetization_mub_per_atom=1.63 pbc="T T T"
Pu 1.547 4.430 4.369
Pu 2.540 2.703 1.456
Pu 1.547 -2.703 4.369
Pu 2.540 -4.430 1.456
U 1.547 0.902 4.369
U 2.540 -0.902 1.456
C 0.525 2.651 2.913
C 1.710 0.804 0.045
C 0.717 -0.804 2.957
C 1.518 -2.651 0.000
C 3.371 0.804 2.868
C 2.377 -0.804 5.781

***

(9)
9
Lattice="5.716 0.000 0.000 -2.323 5.236 0.000 -0.081 -0.082 5.878" Properties=species:S:1:pos:R:3 comment="Pu2U6C, relaxed, DFT PBE-GGA" total_energy_ev_per_atom=-11.609 e_form_mev_per_atom=127 mass_density_g_cm3=18.2 total_magnetization_mub_per_atom=0.00 pbc="T T T"
Pu 0.284 1.672 0.011
Pu 3.029 3.481 5.867
U -1.476 4.928 4.285
U -0.465 3.657 1.413
U 1.008 3.287 4.291
U 2.304 1.867 1.587
U 3.778 1.496 4.465
U 4.789 0.226 1.593
C 2.818 -0.041 2.939

***

(10)
12
Lattice="5.481 0.000 0.000 0.000 6.140 0.000 -1.895 0.000 5.558" Properties=species:S:1:pos:R:3 comment="PuUC, relaxed, DFT PBE-GGA" total_energy_ev_per_atom=-11.630 relative_energy_ev_per_fu=0.44 e_form_mev_per_atom=-16 mass_density_g_cm3=17.5 total_magnetization_mub_per_atom=0.00 pbc="T T T"
Pu -0.001 0.982 0.609
Pu -0.948 2.088 3.388
Pu 4.535 4.052 2.170
Pu 3.587 5.158 4.949
U 1.288 3.713 1.117
U 0.340 5.497 3.896
U 3.246 0.643 1.662
U 2.298 2.427 4.441
C 1.187 1.406 2.522
C 0.239 1.664 5.301
C 3.347 4.476 0.257
C 2.400 4.734 3.036

***

(11)
20
Lattice="-4.041 4.041 4.041 4.041 -4.041 4.041 4.041 4.041 -4.041" Properties=species:S:1:pos:R:3 comment="PuUC3, relaxed, DFT PBE-GGA" total_energy_ev_per_atom=-10.732 e_form_mev_per_atom=-74 mass_density_g_cm3=13.0 total_magnetization_mub_per_atom=1.04 pbc="T T T"
Pu 5.664 -1.623 1.623
Pu 1.623 5.664 -1.623
Pu 2.418 2.418 2.418
Pu -1.623 1.623 5.664
U 3.651 0.390 -0.390
U 0.390 0.390 0.390
U 0.390 -0.390 3.651
U -0.390 3.651 0.390
C 6.062 0.326 0.000
C 6.062 1.745 0.000
C 2.297 0.000 2.021
C 3.715 0.000 2.021
C 2.021 2.297 0.000
C 2.021 3.715 0.000
C 0.000 2.021 2.297
C 0.000 2.021 3.715
C 0.326 0.000 6.062
C 1.745 0.000 6.062
C 0.000 6.062 0.326
C 0.000 6.062 1.745

***

(12)
6
Lattice="-1.758 2.494 5.223 1.758 -2.494 5.223 1.758 2.494 -5.223" Properties=species:S:1:pos:R:3 comment="PuU2C3, relaxed, DFT PBE-GGA" total_energy_ev_per_atom=-10.833 relative_energy_ev_per_fu=0.00 e_form_mev_per_atom=-70 mass_density_g_cm3=13.7 total_magnetization_mub_per_atom=0.85 pbc="T T T"
Pu 0.000 0.000 0.000
U 0.000 0.000 3.500
U 0.000 0.000 6.945
C 1.758 0.000 1.893
C 0.000 2.494 0.000
C 0.000 2.494 3.330

***

What is the formula in the eighth record? Pu2UC3

***

What is the formula in the fifth record? Pu2UC2

***

Repeat the third record exactly.
3
Lattice="3.431 0.000 0.000 -1.716 2.971 0.000 0.000 0.000 4.442" Properties=species:S:1:pos:R:3 comment="PuUC, relaxed, DFT PBE-GGA" total_energy_ev_per_atom=-11.776 relative_energy_ev_per_fu=0.00 e_form_mev_per_atom=-162 mass_density_g_cm3=18.1 total_magnetization_mub_per_atom=0.00 pbc="T T T"
Pu 0.000 0.000 0.000
U 0.000 1.981 1.515
C 1.716 0.990 3.036